Record 1
# KAu2Se (GGA-PBEsol, relaxed)
# Formation energy from raw total energies in eV/atom: 0.201
# Total moment in Bohr magnetons per cell: 0.00
data_KAu2Se
_chemical_formula_sum 'K1 Au2 Se1'
_symmetry_space_group_name_H-M 'P 4/m m m'
_symmetry_Int_Tables_number 123
_symmetry_space_group_name_Hall '-P 4 2'
_cell_length_a 2.8247
_cell_length_b 2.8247
_cell_length_c 10.2828
_cell_angle_alpha 90.00
_cell_angle_beta 90.00
_cell_angle_gamma 90.00
loop_
_atom_site_label
_atom_site_fract_x
_atom_site_fract_y
_atom_site_fract_z
K1 0.0000 0.0000 0.0000
Au1 0.5000 0.5000 0.2526
Se1 0.0000 0.0000 0.5000

=====

Record 2
# K2AuSe (GGA-PBEsol, relaxed)
# Formation energy from raw total energies in eV/atom: -0.496
# Total moment in Bohr magnetons per cell: 0.00
data_K2AuSe
_chemical_formula_sum 'K2 Au1 Se1'
_symmetry_space_group_name_H-M 'P 4/m m m'
_symmetry_Int_Tables_number 123
_symmetry_space_group_name_Hall '-P 4 2'
_cell_length_a 5.9277
_cell_length_b 5.9277
_cell_length_c 2.9921
_cell_angle_alpha 90.00
_cell_angle_beta 90.00
_cell_angle_gamma 90.00
loop_
_atom_site_label
_atom_site_fract_x
_atom_site_fract_y
_atom_site_fract_z
K1 0.0000 0.5000 0.0000
Au1 0.0000 0.0000 0.5000
Se1 0.5000 0.5000 0.5000

=====

Record 3
# KSiAu4 (GGA-PBEsol, relaxed)
# Formation energy from raw total energies in eV/atom: 0.163
# Total moment in Bohr magnetons per cell: 0.00
data_KSiAu4
_chemical_formula_sum 'K4 Si4 Au16'
_symmetry_space_group_name_H-M 'F -4 3 m'
_symmetry_Int_Tables_number 216
_symmetry_space_group_name_Hall 'F -4 2 3'
_cell_length_a 7.8017
_cell_length_b 7.8017
_cell_length_c 7.8017
_cell_angle_alpha 90.00
_cell_angle_beta 90.00
_cell_angle_gamma 90.00
loop_
_atom_site_label
_atom_site_fract_x
_atom_site_fract_y
_atom_site_fract_z
K1 0.0000 0.0000 0.0000
Si1 0.2500 0.2500 0.2500
Au1 0.1247 0.1247 0.6247

=====

Record 4
# KSiAu (GGA-PBEsol, relaxed)
# Formation energy from raw total energies in eV/atom: -0.114
# Total moment in Bohr magnetons per cell: 0.00
data_KSiAu
_chemical_formula_sum 'K1 Si1 Au1'
_symmetry_space_group_name_H-M 'P -6 m 2'
_symmetry_Int_Tables_number 187
_symmetry_space_group_name_Hall 'P -6 2'
_cell_length_a 4.1518
_cell_length_b 4.1518
_cell_length_c 5.2994
_cell_angle_alpha 90.00
_cell_angle_beta 90.00
_cell_angle_gamma 120.00
loop_
_atom_site_label
_atom_site_fract_x
_atom_site_fract_y
_atom_site_fract_z
K1 0.0000 0.0000 0.0000
Si1 0.3333 0.6667 0.5000
Au1 0.6667 0.3333 0.5000

=====

Record 5
# KSi2Au (GGA-PBEsol, relaxed)
# Formation energy from raw total energies in eV/atom: 0.494
# Total moment in Bohr magnetons per cell: 0.00
data_KSi2Au
_chemical_formula_sum 'K4 Si8 Au4'
_symmetry_space_group_name_H-M 'F m -3 m'
_symmetry_Int_Tables_number 225
_symmetry_space_group_name_Hall '-F 4 2 3'
_cell_length_a 6.6976
_cell_length_b 6.6976
_cell_length_c 6.6976
_cell_angle_alpha 90.00
_cell_angle_beta 90.00
_cell_angle_gamma 90.00
loop_
_atom_site_label
_atom_site_fract_x
_atom_site_fract_y
_atom_site_fract_z
K1 0.0000 0.0000 0.0000
Si1 0.2500 0.2500 0.2500
Au1 0.0000 0.0000 0.5000

=====

Record 6
# KSi2Au (GGA-PBEsol, relaxed)
# Formation energy from raw total energies in eV/atom: 0.183
# Total moment in Bohr magnetons per cell: 0.00
data_KSi2Au
_chemical_formula_sum 'K1 Si2 Au1'
_symmetry_space_group_name_H-M 'P 4 m m'
_symmetry_Int_Tables_number 99
_symmetry_space_group_name_Hall 'P 4 -2'
_cell_length_a 3.2805
_cell_length_b 3.2805
_cell_length_c 7.6085
_cell_angle_alpha 90.00
_cell_angle_beta 90.00
_cell_angle_gamma 90.00
loop_
_atom_site_label
_atom_site_fract_x
_atom_site_fract_y
_atom_site_fract_z
K1 0.0000 0.0000 0.0000
Si1 0.0000 0.0000 0.4838
Si2 0.5000 0.5000 0.3255
Au1 0.5000 0.5000 0.6660

=====

Record 7
# KSi2Au (GGA-PBEsol, relaxed)
# Formation energy from raw total energies in eV/atom: -0.064
# Total moment in Bohr magnetons per cell: 0.00
data_KSi2Au
_chemical_formula_sum 'K2 Si4 Au2'
_symmetry_space_group_name_H-M 'C 1 2/m 1'
_symmetry_Int_Tables_number 12
_symmetry_space_group_name_Hall '-C 2y'
_cell_length_a 7.3955
_cell_length_b 3.9868
_cell_length_c 6.7394
_cell_angle_alpha 90.00
_cell_angle_beta 108.41
_cell_angle_gamma 90.00
loop_
_atom_site_label
_atom_site_fract_x
_atom_site_fract_y
_atom_site_fract_z
K1 0.0000 0.0000 0.0000
Si1 0.2157 0.0000 0.6271
Au1 0.0000 0.5000 0.5000

=====

Record 8
# K3Sn4Au (GGA-PBEsol, relaxed)
# E_form in meV per atom: -322
# Total moment in Bohr magnetons per cell: 0.00
data_K3Sn4Au
_chemical_formula_sum 'K6 Sn8 Au2'
_symmetry_space_group_name_H-M 'P m m n'
_symmetry_Int_Tables_number 59
_cell_length_a 6.7799
_cell_length_b 12.4817
_cell_length_c 6.5134
_cell_angle_alpha 90.00
_cell_angle_beta 90.00
_cell_angle_gamma 90.00
loop_
_symmetry_equiv_pos_as_xyz
'x,y,z'
'-x,-y,-z'
'-x+1/2,-y+1/2,z'
'x+1/2,y+1/2,-z'
'x+1/2,-y,-z'
'-x+1/2,y,z'
'-x,y+1/2,-z'
'x,-y+1/2,z'
loop_
_atom_site_label
_atom_site_fract_x
_atom_site_fract_y
_atom_site_fract_z
K1 0.2500 0.0035 0.1709
K2 0.2500 0.2500 0.5551
Sn1 0.0167 0.7500 0.9626
Sn2 0.2500 0.6259 0.6673
Au1 0.2500 0.7500 0.3138

=====

Record 9
# KSn2Au2 (GGA-PBEsol, relaxed)
# E_form in meV per atom: -246
# Total moment in Bohr magnetons per cell: 0.00
data_KSn2Au2
_chemical_formula_sum 'K2 Sn4 Au4'
_symmetry_space_group_name_H-M 'I 4/m m m'
_symmetry_Int_Tables_number 139
_symmetry_space_group_name_Hall '-I 4 2'
_cell_length_a 4.7958
_cell_length_b 4.7958
_cell_length_c 11.0799
_cell_angle_alpha 90.00
_cell_angle_beta 90.00
_cell_angle_gamma 90.00
loop_
_atom_site_label
_atom_site_fract_x
_atom_site_fract_y
_atom_site_fract_z
K1 0.0000 0.0000 0.0000
Sn1 0.0000 0.5000 0.2500
Au1 0.0000 0.0000 0.3761

=====

Record 10
# KSn3Au3 (GGA-PBEsol, relaxed)
# E_form in meV per atom: -289
# Total moment in Bohr magnetons per cell: 0.00
data_KSn3Au3
_chemical_formula_sum 'K2 Sn6 Au6'
_symmetry_space_group_name_H-M 'P m m n'
_symmetry_Int_Tables_number 59
_cell_length_a 4.6547
_cell_length_b 7.6250
_cell_length_c 9.2848
_cell_angle_alpha 90.00
_cell_angle_beta 90.00
_cell_angle_gamma 90.00
loop_
_symmetry_equiv_pos_as_xyz
'x,y,z'
'-x,-y,-z'
'-x+1/2,-y+1/2,z'
'x+1/2,y+1/2,-z'
'x+1/2,-y,-z'
'-x+1/2,y,z'
'-x,y+1/2,-z'
'x,-y+1/2,z'
loop_
_atom_site_label
_atom_site_fract_x
_atom_site_fract_y
_atom_site_fract_z
K1 0.2500 0.2500 0.2383
Sn1 0.2500 0.0450 0.6228
Sn2 0.2500 0.7500 0.1158
Au1 0.2500 0.0393 0.9187
Au2 0.2500 0.7500 0.4289

=====

Record 11
# KSrAu2 (GGA-PBEsol, relaxed)
# E_form in meV per atom: -381
# Total moment in Bohr magnetons per cell: 0.00
data_KSrAu2
_chemical_formula_sum 'K1 Sr1 Au2'
_symmetry_space_group_name_H-M 'P 4/m m m'
_symmetry_Int_Tables_number 123
_symmetry_space_group_name_Hall '-P 4 2'
_cell_length_a 5.3129
_cell_length_b 5.3129
_cell_length_c 3.8308
_cell_angle_alpha 90.00
_cell_angle_beta 90.00
_cell_angle_gamma 90.00
loop_
_atom_site_label
_atom_site_fract_x
_atom_site_fract_y
_atom_site_fract_z
K1 0.0000 0.0000 0.0000
Sr1 0.5000 0.5000 0.0000
Au1 0.0000 0.5000 0.5000

=====

Record 12
# KSrAu2 (GGA-PBEsol, relaxed)
# E_form in meV per atom: -295
# Total moment in Bohr magnetons per cell: 0.00
data_KSrAu2
_chemical_formula_sum 'K3 Sr3 Au6'
_symmetry_space_group_name_H-M 'R -3 m'
_symmetry_Int_Tables_number 166
_symmetry_space_group_name_Hall '-R 3 2"'
_cell_length_a 4.3946
_cell_length_b 4.3946
_cell_length_c 23.3723
_cell_angle_alpha 90.00
_cell_angle_beta 90.00
_cell_angle_gamma 120.00
loop_
_atom_site_label
_atom_site_fract_x
_atom_site_fract_y
_atom_site_fract_z
K1 0.0000 0.0000 0.0000
Sr1 0.0000 0.0000 0.5000
Au1 0.0000 0.0000 0.2417

=====

Number 1: theoretical density 10.4 Mg/m³, E_tot -3.006 eV/atom. Number 2: theoretical density 5.6 Mg/m³, E_tot -3.007 eV/atom. Number 3: theoretical density 12.0 Mg/m³, E_tot -3.600 eV/atom. Number 4: theoretical density 5.5 Mg/m³, E_tot -3.716 eV/atom. Number 5: theoretical density 6.5 Mg/m³, E_tot -3.644 eV/atom. Number 6: theoretical density 5.9 Mg/m³, E_tot -3.955 eV/atom. Number 7: theoretical density 5.1 Mg/m³, E_tot -4.202 eV/atom. Number 8: theoretical density 4.8 Mg/m³, E_tot -3.367 eV/atom. Number 9: theoretical density 8.7 Mg/m³, E_tot -3.746 eV/atom. Number 10: theoretical density 9.9 Mg/m³, E_tot -3.958 eV/atom. Number 11: theoretical density 8.0 Mg/m³, E_tot -3.086 eV/atom. Number 12: theoretical density 6.6 Mg/m³, E_tot -3.000 eV/atom.